Entry 1:
{
  "formula": "RbSb2TePd",
  "functional": "PBE-GGA",
  "state": "relaxed",
  "cell": [[5.2799, 0.0000, 0.0000], [0.0000, 5.2799, 0.0000], [0.0000, 0.0000, 5.8369]],
  "species": ["Pd", "Rb", "Sb", "Sb", "Te"],
  "fractional_positions": [[0.0000, 0.0000, 0.0000], [0.5000, 0.5000, 0.5000], [0.0000, 0.5000, 0.0000], [0.5000, 0.0000, 0.0000], [0.0000, 0.0000, 0.5000]],
  "volume_a3_per_cell": 162.7,
  "e_above_lowest_polymorph_ev_per_fu": 0.00,
  "space_group": "No. 123"
}



Entry 2:
{
  "formula": "RbSb2TePd",
  "functional": "PBE-GGA",
  "state": "relaxed",
  "cell": [[-1.2447, -3.0221, 5.0235], [5.7886, 0.1792, 1.5421], [-0.9451, 5.2684, 2.9353]],
  "species": ["Te", "Sb", "Sb", "Rb", "Pd"],
  "fractional_positions": [[0.0000, 0.0000, 0.5000], [0.0000, 0.5000, 0.0000], [0.5000, 0.0000, 0.0000], [0.0000, 0.0000, 0.0000], [0.5000, 0.5000, 0.5000]],
  "volume_a3_per_cell": 219.3,
  "e_above_lowest_polymorph_ev_per_fu": 8.40,
  "space_group": "No. 123"
}



Entry 3:
{
  "formula": "RbTl2SbPd",
  "functional": "PBE-GGA",
  "state": "relaxed",
  "cell": [[5.5085, 0.0000, 0.0000], [0.0000, 5.5085, 0.0000], [0.0000, 0.0000, 5.4619]],
  "species": ["Tl", "Tl", "Pd", "Rb", "Sb"],
  "fractional_positions": [[0.5000, 0.0000, 0.0000], [0.0000, 0.5000, 0.0000], [0.0000, 0.0000, 0.0000], [0.5000, 0.5000, 0.5000], [0.0000, 0.0000, 0.5000]],
  "total_energy_ev_per_atom": -3.117,
  "volume_a3_per_cell": 165.7,
  "space_group": "No. 123"
}



Entry 4:
{
  "formula": "Rb3Tl4Sb2Pd2",
  "functional": "PBE-GGA",
  "state": "relaxed",
  "cell": [[4.8012, 0.0000, 0.0000], [-2.4006, 4.1580, 0.0000], [0.0000, 0.0000, 20.1678]],
  "species": ["Rb", "Rb", "Rb", "Sb", "Sb", "Pd", "Pd", "Tl", "Tl", "Tl", "Tl"],
  "fractional_positions": [[0.0000, 0.0000, 0.6999], [0.0000, 0.0000, 0.3001], [0.0000, 0.0000, 0.0000], [0.3333, 0.6667, 0.1729], [0.6667, 0.3333, 0.8271], [0.3333, 0.6667, 0.5781], [0.6667, 0.3333, 0.4219], [0.3333, 0.6667, 0.4386], [0.3333, 0.6667, 0.8802], [0.6667, 0.3333, 0.1198], [0.6667, 0.3333, 0.5614]],
  "total_energy_ev_per_atom": -2.915,
  "volume_a3_per_cell": 402.6,
  "space_group": "No. 164"
}



Entry 5:
{
  "formula": "RbTlSbPd",
  "functional": "PBE-GGA",
  "state": "relaxed",
  "cell": [[4.5619, 0.0000, 0.0000], [2.2809, 3.9507, 0.0000], [2.2809, 1.3169, 7.2611]],
  "species": ["Rb", "Pd", "Sb", "Tl"],
  "fractional_positions": [[0.8140, 0.8140, 0.5579], [0.6211, 0.6211, 0.1368], [0.2658, 0.2658, 0.2026], [0.0250, 0.0250, 0.9251]],
  "total_energy_ev_per_atom": -3.506,
  "volume_a3_per_cell": 130.9,
  "space_group": "No. 160"
}



Entry 6:
{
  "formula": "RbYSb2Pd",
  "functional": "PBE-GGA",
  "state": "relaxed",
  "cell": [[-5.6725, -0.5291, -1.4198], [0.5158, -5.3344, -0.0728], [-1.4059, -0.2137, 5.6966]],
  "species": ["Rb", "Pd", "Y", "Sb", "Sb"],
  "fractional_positions": [[0.0000, 0.0000, 0.0000], [0.5000, 0.5000, 0.5000], [0.0000, 0.5000, 0.0000], [0.0000, 0.0000, 0.5000], [0.5000, 0.0000, 0.0000]],
  "total_energy_ev_per_atom": -2.638,
  "volume_a3_per_cell": 184.8,
  "space_group": "No. 123"
}



Entry 7:
{
  "formula": "Rb3ScPd",
  "functional": "PBE-GGA",
  "state": "relaxed",
  "cell": [[6.5066, 0.0000, 0.0000], [0.0000, 6.5066, 0.0000], [0.0000, 0.0000, 6.5066]],
  "species": ["Rb", "Rb", "Rb", "Pd", "Sc"],
  "fractional_positions": [[0.0000, 0.5000, 0.0000], [0.0000, 0.0000, 0.5000], [0.5000, 0.0000, 0.0000], [0.0000, 0.0000, 0.0000], [0.5000, 0.5000, 0.5000]],
  "delta_e_f_kcal_per_mol_atoms": 15.0,
  "volume_a3_per_cell": 275.5,
  "e_above_lowest_polymorph_ev_per_fu": 0.00,
  "space_group": "No. 221"
}



Entry 8:
{
  "formula": "RbScPd2",
  "functional": "PBE-GGA",
  "state": "relaxed",
  "cell": [[7.8202, 0.0000, 0.0000], [0.0000, 7.8202, 0.0000], [3.9101, 3.9101, 3.4360]],
  "species": ["Pd", "Pd", "Pd", "Pd", "Sc", "Sc", "Rb", "Rb"],
  "fractional_positions": [[0.8750, 0.8141, 0.7500], [0.5641, 0.1250, 0.2500], [0.3750, 0.4359, 0.7500], [0.1859, 0.6250, 0.2500], [0.2500, 0.7500, 0.5000], [0.5000, 0.5000, 0.0000], [0.7500, 0.2500, 0.5000], [0.0000, 0.0000, 0.0000]],
  "delta_e_f_kcal_per_mol_atoms": 1.2,
  "volume_a3_per_cell": 210.1,
  "e_above_lowest_polymorph_ev_per_fu": 0.00,
  "space_group": "No. 122"
}